First-principles (GGA-PBEsol) data for crystalline Ta2OsRu at its relaxed geometry, as listed in Alexandria.

abc: 3.0287 3.4074 6.0603
angles: 90.00 90.00 90.00
Atoms (fractional coordinates):
Ta 0.0000 0.0000 0.2492
Ta 0.0000 0.0000 0.7508
Os 0.5000 0.5000 0.5000
Ru 0.5000 0.5000 0.0000

Computed properties:
Polymorph energy (0 for the lowest one), eV per atom: 0.0073
Total magnetization, μB/f.u.: 0.0
Formation energy from the elements, eV/atom: -0.265